No. 1
! LaMn2Cu (PBE, relaxed); values from VASP
&SYSTEM
  ibrav = 0, nat = 4, ntyp = 3
/
ATOMIC_SPECIES
La 138.91 La.upf
Mn 54.94 Mn.upf
Cu 63.55 Cu.upf
CELL_PARAMETERS angstrom
3.150 0.000 0.000
0.000 3.150 0.000
0.000 0.000 7.180
ATOMIC_POSITIONS angstrom
La 0.000 0.000 0.000
Mn 0.000 0.000 3.546
Mn 1.575 1.575 2.341
Cu 1.575 1.575 4.925
! DFT total energy: -6.656 eV/atom
! Crystal system: tetragonal

=====

No. 2
! LaMnCu3 (PBE, relaxed); values from VASP
&SYSTEM
  ibrav = 0, nat = 5, ntyp = 3
/
ATOMIC_SPECIES
La 138.91 La.upf
Mn 54.94 Mn.upf
Cu 63.55 Cu.upf
CELL_PARAMETERS angstrom
5.147 0.000 0.000
0.000 5.147 0.000
0.000 0.000 5.147
ATOMIC_POSITIONS angstrom
La 0.000 0.000 0.000
Mn 2.573 2.573 2.573
Cu 0.000 0.000 2.573
Cu 0.000 2.573 0.000
Cu 2.573 0.000 0.000
! Polymorph energy (0 for the lowest one): 5.27 eV/f.u.
! Crystal system: cubic

=====

No. 3
! LaMn2Cu (PBE, relaxed); values from VASP
&SYSTEM
  ibrav = 0, nat = 4, ntyp = 3
/
ATOMIC_SPECIES
La 138.91 La.upf
Mn 54.94 Mn.upf
Cu 63.55 Cu.upf
CELL_PARAMETERS angstrom
3.338 0.000 0.000
0.000 4.444 0.000
-1.281 0.000 5.280
ATOMIC_POSITIONS angstrom
La 0.000 0.000 0.000
Mn 0.248 2.222 3.737
Mn 1.809 2.222 1.544
Cu 1.029 0.000 2.640
! DFT total energy: -6.454 eV/atom
! Crystal system: monoclinic

=====

No. 4
! LaMn2Cu (PBE, relaxed); values from VASP
&SYSTEM
  ibrav = 0, nat = 4, ntyp = 3
/
ATOMIC_SPECIES
La 138.91 La.upf
Mn 54.94 Mn.upf
Cu 63.55 Cu.upf
CELL_PARAMETERS angstrom
4.748 0.000 0.000
0.000 3.309 0.000
-0.019 0.000 4.801
ATOMIC_POSITIONS angstrom
La 0.000 0.000 0.000
Mn 2.365 0.000 2.401
Mn 2.374 1.655 0.000
Cu -0.009 1.655 2.401
! DFT total energy: -6.448 eV/atom
! Crystal system: monoclinic

=====

No. 5
! LaMn2Cu (PBE, relaxed); values from VASP
&SYSTEM
  ibrav = 0, nat = 4, ntyp = 3
/
ATOMIC_SPECIES
La 138.91 La.upf
Mn 54.94 Mn.upf
Cu 63.55 Cu.upf
CELL_PARAMETERS angstrom
-1.608 2.456 4.754
1.608 -2.456 4.754
1.608 2.456 -4.754
ATOMIC_POSITIONS angstrom
La 0.000 0.000 0.000
Mn 1.608 0.000 2.665
Mn 0.000 2.456 2.090
Cu 0.000 0.000 4.754
! DFT total energy: -6.464 eV/atom
! Crystal system: orthorhombic

=====

No. 6
! La2Mn2Cu (PBE, relaxed); values from VASP
&SYSTEM
  ibrav = 0, nat = 10, ntyp = 3
/
ATOMIC_SPECIES
La 138.91 La.upf
Mn 54.94 Mn.upf
Cu 63.55 Cu.upf
CELL_PARAMETERS angstrom
7.001 0.000 0.000
0.000 7.001 0.000
0.000 0.000 4.495
ATOMIC_POSITIONS angstrom
La 1.217 2.284 0.000
La 2.284 5.785 0.000
La 4.718 1.217 0.000
La 5.785 4.718 0.000
Mn 0.931 4.432 2.248
Mn 2.570 0.931 2.248
Mn 4.432 6.070 2.248
Mn 6.070 2.570 2.248
Cu 0.000 0.000 2.248
Cu 3.501 3.501 2.248
! DFT total energy: -6.207 eV/atom
! Crystal system: tetragonal

=====

No. 7
! LaMn2Cu (PBE, relaxed); values from VASP
&SYSTEM
  ibrav = 0, nat = 4, ntyp = 3
/
ATOMIC_SPECIES
La 138.91 La.upf
Mn 54.94 Mn.upf
Cu 63.55 Cu.upf
CELL_PARAMETERS angstrom
-2.246 2.565 3.408
2.246 -2.565 3.408
2.246 2.565 -3.408
ATOMIC_POSITIONS angstrom
La 0.000 0.000 0.000
Mn 2.246 0.000 2.047
Mn 0.000 0.000 3.377
Cu 0.000 2.565 1.414
! DFT total energy: -6.532 eV/atom
! Crystal system: orthorhombic

=====

No. 8
! LaMnCu (PBE, relaxed); values from VASP
&SYSTEM
  ibrav = 0, nat = 3, ntyp = 3
/
ATOMIC_SPECIES
La 138.91 La.upf
Mn 54.94 Mn.upf
Cu 63.55 Cu.upf
CELL_PARAMETERS angstrom
4.292 0.000 0.000
-2.146 3.717 0.000
0.000 0.000 4.130
ATOMIC_POSITIONS angstrom
La 0.000 0.000 0.000
Mn 0.000 2.478 2.065
Cu 2.146 1.239 2.065
! DFT total energy: -5.981 eV/atom
! Crystal system: hexagonal

=====

No. 9
! LaMn2Cu2 (PBE, relaxed); values from VASP
&SYSTEM
  ibrav = 0, nat = 10, ntyp = 3
/
ATOMIC_SPECIES
La 138.91 La.upf
Mn 54.94 Mn.upf
Cu 63.55 Cu.upf
CELL_PARAMETERS angstrom
7.543 0.000 0.000
0.000 7.543 0.000
0.000 0.000 2.916
ATOMIC_POSITIONS angstrom
La 0.000 0.000 0.000
La 3.772 3.772 0.000
Mn 1.060 2.712 0.000
Mn 2.712 6.484 0.000
Mn 4.831 1.060 0.000
Mn 6.484 4.831 0.000
Cu 1.110 4.881 1.458
Cu 2.662 1.110 1.458
Cu 4.881 6.433 1.458
Cu 6.433 2.662 1.458
! Polymorph energy (0 for the lowest one): 0.00 eV/f.u.
! Crystal system: tetragonal

=====

No. 10
! NaLaMnCu2 (PBE, relaxed); values from VASP
&SYSTEM
  ibrav = 0, nat = 5, ntyp = 4
/
ATOMIC_SPECIES
Na 22.99 Na.upf
La 138.91 La.upf
Mn 54.94 Mn.upf
Cu 63.55 Cu.upf
CELL_PARAMETERS angstrom
4.806 0.000 0.000
0.000 4.806 0.000
0.000 0.000 4.901
ATOMIC_POSITIONS angstrom
Na 0.000 0.000 0.000
La 2.403 2.403 2.451
Mn 0.000 0.000 2.451
Cu 0.000 2.403 0.000
Cu 2.403 0.000 0.000
! DFT total energy: -3.932 eV/atom
! Crystal system: tetragonal

=====

no.,density (Mg/m³)
1,7.28
2,4.68
3,6.62
4,6.87
5,6.91
6,6.80
7,6.61
8,6.49
9,7.52
10,5.05